Record 1
ScMnSi2 | GGA-PBE | optimized geometry

a b c (Å): 5.554 7.591 2.881
angles (deg): 90.00 90.74 90.00
Space group C2/m (No. 12)
One atom of each set of equivalent atoms:
Sc 0.000 0.000 0.000
Mn 0.000 0.500 0.000
Si 0.250 0.250 0.500

density = 4.267 g/cm3
formation energy without anion corrections = -0.216 eV per atom
E = -6.803 eV/atom
volume = 61 Å³/f.u.
total magnetic moment = 0.70 μB/atom


Record 2
Li2MoOs | GGA-PBE | optimized geometry

a b c (Å): 3.573 3.573 4.560
angles (deg): 90.00 90.00 90.00
Space group P4/mmm (No. 123)
One atom of each set of equivalent atoms:
Li 0.000 0.500 0.000
Mo 0.000 0.000 0.500
Os 0.500 0.500 0.500

density = 8.560 g/cm3
E = -6.168 eV/atom
volume = 58 Å³/f.u.
total magnetic moment = 0.00 μB/atom
energy of formation = 0.3039 eV/atom
excess energy over the best structure of this formula in the dataset = 0.156 eV/atom


Record 3
LiCuOs2 | GGA-PBE | optimized geometry

a b c (Å): 3.614 3.614 4.102
angles (deg): 90.00 90.00 90.00
Space group P4/mmm (No. 123)
One atom of each set of equivalent atoms:
Li 0.000 0.000 0.000
Cu 0.500 0.500 0.000
Os 0.000 0.500 0.500

density = 13.976 g/cm3
E = -6.681 eV/atom
volume = 54 Å³/f.u.
total magnetic moment = 0.00 μB/atom
energy of formation = 0.4368 eV/atom
excess energy over the best structure of this formula in the dataset = 0.246 eV/atom